First-principles (PBE) data for an optimized crystal structure of La3GaO, as listed in Alexandria.

Results
N(E_F) (states/eV/atom): 0.9251
Magnetic moment (μB/f.u.): 0.00
Volume (Å³/atom): 43.56
Formation energy (no corrections) (meV per atom): -756
E (eV/atom): -5.309

Cell lengths 8.0397, 8.0397, 11.6718 Å; angles 90.00, 90.00, 120.00 degrees
Space group R3m (No. 160, hexagonal axes)
Unique sites:
La  0.0314  0.5157  0.0000 [9 per cell]
Ga  0.0000  0.0000  0.5328 [3 per cell]
O  0.0000  0.0000  0.2558 [3 per cell]